No. 1
Density functional theory data (PBE) for an optimized crystal structure of K2MgP2Os.

POSCAR file:
```
K2MgP2Os
1.0
4.089 0.000 0.000
0.000 4.089 0.000
0.000 0.000 10.018
K Mg P Os
2 1 2 1
Direct
0.000 0.500 0.194
0.500 0.000 0.806
0.000 0.000 0.500
0.000 0.500 0.632
0.500 0.000 0.368
0.500 0.500 0.500
```

Computed properties:
The calculation puts the total magnetization at 0.0 Bohr magnetons per cell. Its space group is No. 115. For the mass density, the calculation gives 3.5 g/cm3. The value obtained for the total energy is -4.55 eV per atom.



No. 2
Density functional theory data (PBE) for an optimized crystal structure of CdHgSO.

POSCAR file:
```
CdHgSO
1.0
6.783 0.000 0.000
0.000 7.945 0.000
0.000 0.000 6.358
Cd Hg S O
4 4 4 4
Direct
0.064 0.150 0.000
0.436 0.150 0.500
0.564 0.850 0.000
0.936 0.850 0.500
0.111 0.608 0.946
0.389 0.608 0.446
0.611 0.392 0.946
0.889 0.392 0.446
0.072 0.138 0.598
0.428 0.138 0.098
0.572 0.862 0.598
0.928 0.862 0.098
0.077 0.611 0.586
0.423 0.611 0.086
0.577 0.389 0.586
0.923 0.389 0.086
```

Computed properties:
Its space group is No. 29. The energy above the most stable polymorph in this dataset comes out at 70.4 meV/atom. For the mass density, the calculation gives 7.0 g/cm3.



No. 3
Density functional theory data (PBE) for an optimized crystal structure of Dy2PtAu.

POSCAR file:
```
Dy2PtAu
1.0
5.674 0.000 0.000
0.000 4.575 0.000
-2.553 0.000 7.066
Dy Pt Au
4 2 2
Direct
0.217 0.250 0.435
0.232 0.250 0.927
0.768 0.750 0.073
0.783 0.750 0.565
0.326 0.750 0.706
0.674 0.250 0.294
0.319 0.750 0.207
0.681 0.250 0.793
```

Computed properties:
The calculation puts the total magnetization at 0.0 Bohr magnetons per cell. Its space group is No. 11. For the mass density, the calculation gives 13.0 g/cm3. For the formation energy from the elements, the calculation gives -1095 meV/atom.